Below is crystalline CeSmHgOs at its relaxed geometry, with properties calculated at the PBE-GGA level.

Cell: 5.123 5.123 5.123 Å, 60.00 60.00 60.00°
Element x y z (fractional)
1 Ce 0.000 0.000 0.000
2 Sm 0.500 0.500 0.500
3 Hg 0.250 0.250 0.250
4 Os 0.750 0.750 0.750

Calculated values
DOS at the Fermi energy: 5.584 states/eV per cell
Formation energy: -0.56 eV/f.u.
Distance to the lowest polymorph of the same formula: 137 meV per atom
Final energy: -22.74 eV per cell

Below is crystalline YHf2B at its relaxed geometry, with properties calculated at the PBE-GGA level.

Cell: 6.126 6.126 6.126 Å, 102.15 102.15 125.38°
Element x y z (fractional)
1 Y 0.000 0.000 0.000
2 Y 0.750 0.250 0.500
3 Hf 0.217 0.625 0.092
4 Hf 0.375 0.467 0.592
5 Hf 0.533 0.125 0.908
6 Hf 0.875 0.783 0.408
7 B 0.250 0.750 0.500
8 B 0.500 0.500 0.000

Calculated values
DOS at the Fermi energy: 6.831 states/eV per cell
Formation energy: 0.95 eV/f.u.
Distance to the lowest polymorph of the same formula: 0 meV per atom
Final energy: -64.20 eV per cell